[1]
This record from Alexandria via LeMat-Bulk describes a geometry-optimized MgZrAu structure. The functional is GGA-PBEsol.

Cell lengths 4.695, 4.695, 2.963 Å; angles 90.00, 90.00, 120.00 degrees
Fractional positions:
Mg 0.000 0.000 0.000
Zr 0.333 0.667 0.500
Au 0.667 0.333 0.000

raw total energy = -15.68 eV per formula unit

=====

[2]
This record from Alexandria via LeMat-Bulk describes a geometry-optimized Be4MoRu structure. The functional is GGA-PBEsol.

Cell lengths 4.348, 4.348, 4.348 Å; angles 60.00, 60.00, 60.00 degrees
Fractional positions:
Be 0.124 0.124 0.124
Be 0.124 0.124 0.629
Be 0.124 0.629 0.124
Be 0.629 0.124 0.124
Mo 0.750 0.750 0.750
Ru 0.500 0.500 0.500

raw total energy = -39.92 eV per formula unit

=====

[3]
This record from Alexandria via LeMat-Bulk describes a geometry-optimized SiPOs structure. The functional is GGA-PBEsol.

Cell lengths 3.917, 3.917, 3.917 Å; angles 60.00, 60.00, 60.00 degrees
Fractional positions:
Si 0.000 0.000 0.000
P 0.250 0.250 0.250
Os 0.500 0.500 0.500

uncorrected formation energy = 459 meV/atom

=====

[4]
This record from Alexandria via LeMat-Bulk describes a geometry-optimized La3CuTe structure. The functional is GGA-PBEsol.

Cell lengths 5.436, 5.436, 5.436 Å; angles 90.00, 90.00, 90.00 degrees
Fractional positions:
La 0.000 0.000 0.500
La 0.000 0.500 0.000
La 0.500 0.000 0.000
Cu 0.000 0.000 0.000
Te 0.500 0.500 0.500

uncorrected formation energy = -235 meV/atom
distance to the lowest polymorph of the same formula = 0.0000 eV/atom

=====

[5]
This record from Alexandria via LeMat-Bulk describes a geometry-optimized Be2CdGa2 structure. The functional is GGA-PBEsol.

Cell lengths 6.091, 6.091, 6.091 Å; angles 144.85, 144.85, 50.55 degrees
Fractional positions:
Be 0.250 0.750 0.500
Be 0.750 0.250 0.500
Cd 0.000 0.000 0.000
Ga 0.385 0.385 0.000
Ga 0.615 0.615 0.000

raw total energy = -14.47 eV per formula unit

=====

[6]
This record from Alexandria via LeMat-Bulk describes a geometry-optimized Zr2ReNi structure. The functional is GGA-PBEsol.

Cell lengths 5.327, 5.327, 4.487 Å; angles 114.70, 114.70, 36.06 degrees
Fractional positions:
Zr 0.000 0.000 0.000
Zr 0.226 0.226 0.726
Re 0.480 0.480 0.479
Ni 0.756 0.756 0.257

raw total energy = -38.06 eV per formula unit

=====

[7]
This record from Alexandria via LeMat-Bulk describes a geometry-optimized POsRu2 structure. The functional is GGA-PBEsol.

Cell lengths 3.709, 3.709, 3.821 Å; angles 90.00, 90.00, 90.00 degrees
Fractional positions:
P 0.000 0.000 0.000
Os 0.500 0.500 0.000
Ru 0.000 0.500 0.500
Ru 0.500 0.000 0.500

raw total energy = -36.93 eV per formula unit

=====

[8]
This record from Alexandria via LeMat-Bulk describes a geometry-optimized NiIrSe2 structure. The functional is GGA-PBEsol.

Cell lengths 6.070, 6.070, 6.070 Å; angles 34.37, 34.37, 34.37 degrees
Fractional positions:
Ni 0.000 0.000 0.000
Ir 0.500 0.500 0.500
Se 0.252 0.252 0.252
Se 0.748 0.748 0.748

uncorrected formation energy = 119 meV/atom

=====

[9]
This record from Alexandria via LeMat-Bulk describes a geometry-optimized InSnB3 structure. The functional is GGA-PBEsol.

Cell lengths 4.498, 4.498, 4.498 Å; angles 90.00, 90.00, 90.00 degrees
Fractional positions:
In 0.000 0.000 0.000
Sn 0.500 0.500 0.500
B 0.000 0.500 0.500
B 0.500 0.000 0.500
B 0.500 0.500 0.000

raw total energy = -18.21 eV per formula unit

=====

[10]
This record from Alexandria via LeMat-Bulk describes a geometry-optimized RbAgTeN2 structure. The functional is GGA-PBEsol.

Cell lengths 4.608, 4.608, 5.476 Å; angles 90.00, 90.00, 90.00 degrees
Fractional positions:
Rb 0.000 0.000 0.000
Ag 0.500 0.500 0.500
Te 0.500 0.500 0.000
N 0.000 0.500 0.500
N 0.500 0.000 0.500

uncorrected formation energy = 1479 meV/atom

=====

[11]
This record from Alexandria via LeMat-Bulk describes a geometry-optimized La3ZrI structure. The functional is GGA-PBEsol.

Cell lengths 5.669, 5.669, 5.669 Å; angles 90.00, 90.00, 90.00 degrees
Fractional positions:
La 0.000 0.000 0.500
La 0.000 0.500 0.000
La 0.500 0.000 0.000
Zr 0.000 0.000 0.000
I 0.500 0.500 0.500

uncorrected formation energy = 234 meV/atom

=====

[12]
This record from Alexandria via LeMat-Bulk describes a geometry-optimized AgPb3 structure. The functional is GGA-PBEsol.

Cell lengths 4.715, 4.715, 4.715 Å; angles 90.00, 90.00, 90.00 degrees
Fractional positions:
Ag 0.000 0.000 0.000
Pb 0.000 0.500 0.500
Pb 0.500 0.000 0.500
Pb 0.500 0.500 0.000

raw total energy = -14.86 eV per formula unit

=====

| no. | DOS(E_F) (states/eV/atom) |
| --- | --- |
| 1 | 0.663 |
| 2 | 0.374 |
| 3 | 0.787 |
| 4 | 1.471 |
| 5 | 0.290 |
| 6 | 1.100 |
| 7 | 1.834 |
| 8 | 0.893 |
| 9 | 0.523 |
| 10 | 0.620 |
| 11 | 1.656 |
| 12 | 0.530 |